No. 1
Compound: NpNiO4
Source: Alexandria
Functional: PBE+U
Structure: relaxed

Cell: 5.0009 6.0336 5.7251 Å, 116.11 90.00 90.00°
Positions (direct):
O 0.8063 0.6520 0.8414
O 0.8105 0.1379 0.3307
O 0.6937 0.1520 0.8414
O 0.1937 0.3480 0.1586
O 0.3063 0.8480 0.1586
O 0.1895 0.8621 0.6693
O 0.6895 0.6379 0.3307
O 0.3105 0.3621 0.6693
Np 0.0000 0.0000 0.0000
Np 0.5000 0.5000 0.0000
Ni 0.5000 0.0000 0.5000
Ni 0.0000 0.5000 0.5000

Calculated values
symmetry	P2_1/c
density	7.7	Mg/m³
energy	-97.04	eV for the cell shown


No. 2
Compound: NpNi2O6
Source: Alexandria
Functional: PBE+U
Structure: relaxed

Cell: 5.2577 4.6234 8.8460 Å, 90.00 89.99 90.00°
Positions (direct):
Ni 0.5000 0.9998 0.6830
Ni 0.5000 0.0002 0.3170
Ni 0.0000 0.5002 0.1830
Ni 0.0000 0.4998 0.8170
O 0.6676 0.2638 0.1667
O 0.3324 0.7366 0.1666
O 0.8324 0.7638 0.3333
O 0.6724 0.2092 0.5001
O 0.3324 0.7362 0.8333
O 0.3276 0.7908 0.4999
O 0.6676 0.2634 0.8334
O 0.1724 0.2908 0.0001
O 0.1676 0.2366 0.3334
O 0.1676 0.2362 0.6667
O 0.8324 0.7634 0.6666
O 0.8276 0.7092 0.9999
Np 0.5000 0.5000 0.0000
Np 0.0000 0.0000 0.5000

Calculated values
symmetry	Pnnm
density	7.0	Mg/m³
energy	-124.42	eV for the cell shown


No. 3
Compound: NpNi2O5
Source: Alexandria
Functional: PBE+U
Structure: relaxed

Cell: 7.5521 6.5052 8.6485 Å, 90.00 90.00 90.00°
Positions (direct):
O 0.3955 0.7500 0.2924
O 0.6045 0.2500 0.7076
O 0.6054 0.7500 0.7076
O 0.1054 0.2500 0.7924
O 0.5004 0.7500 0.0000
O 0.8955 0.2500 0.2076
O 0.8946 0.7500 0.2076
O 0.0004 0.2500 0.5000
O 0.1045 0.7500 0.7924
O 0.4996 0.2500 0.0000
O 0.6616 0.4995 0.4292
O 0.8384 0.4995 0.9292
O 0.6616 0.0005 0.4292
O 0.1616 0.9995 0.0708
O 0.3946 0.2500 0.2924
O 0.1616 0.5005 0.0708
O 0.9996 0.7500 0.5000
O 0.3384 0.9995 0.5708
O 0.3384 0.5005 0.5708
O 0.8384 0.0005 0.9292
Np 0.5006 0.7500 0.5000
Np 0.0006 0.2500 0.0000
Np 0.4994 0.2500 0.5000
Np 0.9994 0.7500 0.0000
Ni 0.9196 0.4999 0.3639
Ni 0.4196 0.5001 0.1361
Ni 0.5804 0.0001 0.8639
Ni 0.0804 0.5001 0.6361
Ni 0.4196 0.9999 0.1361
Ni 0.9196 0.0001 0.3639
Ni 0.5804 0.4999 0.8639
Ni 0.0804 0.9999 0.6361

Calculated values
symmetry	Pnma
density	6.8	Mg/m³
energy	-226.27	eV for the cell shown